First-principles (GGA-PBE) data for an optimized crystal structure of Mo5W3S12, as listed in the Alexandria database.

Geometry as POSCAR:
```
Mo5W3S12
1.0
-6.039 10.586 1.458
1.732 -5.264 10.952
10.875 2.183 -5.256
S Mo W
48 20 12
direct
0.227 0.553 0.630
0.597 0.870 0.423
0.130 0.403 0.077
0.423 0.053 0.326
0.577 0.947 0.674
0.077 0.174 0.447
0.053 0.423 0.826
0.577 0.630 0.403
0.903 0.077 0.630
0.630 0.053 0.227
0.174 0.097 0.727
0.597 0.727 0.674
0.773 0.447 0.370
0.947 0.370 0.273
0.826 0.923 0.053
0.826 0.903 0.273
0.447 0.773 0.870
0.326 0.773 0.403
0.403 0.273 0.326
0.923 0.097 0.870
0.727 0.130 0.053
0.630 0.577 0.903
0.130 0.727 0.553
0.097 0.923 0.370
0.370 0.423 0.097
0.174 0.077 0.947
0.273 0.403 0.826
0.423 0.370 0.597
0.674 0.227 0.597
0.227 0.674 0.097
0.097 0.174 0.227
0.773 0.326 0.903
0.903 0.826 0.773
0.403 0.130 0.577
0.553 0.227 0.130
0.447 0.674 0.077
0.727 0.597 0.174
0.923 0.826 0.553
0.553 0.326 0.923
0.077 0.903 0.130
0.870 0.273 0.447
0.674 0.447 0.577
0.326 0.553 0.423
0.370 0.947 0.773
0.273 0.870 0.947
0.870 0.597 0.923
0.053 0.630 0.727
0.947 0.577 0.174
0.125 0.375 0.250
0.250 0.875 0.125
0.000 0.500 0.000
0.750 0.125 0.875
0.500 0.000 0.500
0.125 0.750 0.375
0.000 0.000 0.000
0.625 0.875 0.250
0.500 0.500 0.000
0.625 0.750 0.875
0.750 0.625 0.375
0.000 0.500 0.500
0.000 0.000 0.500
0.875 0.625 0.750
0.500 0.000 0.000
0.250 0.375 0.625
0.375 0.125 0.750
0.500 0.500 0.500
0.875 0.250 0.625
0.375 0.250 0.125
0.125 0.250 0.875
0.625 0.375 0.750
0.875 0.125 0.250
0.625 0.250 0.375
0.125 0.875 0.750
0.750 0.875 0.625
0.375 0.625 0.250
0.375 0.750 0.625
0.875 0.750 0.125
0.250 0.125 0.375
0.750 0.375 0.125
0.250 0.625 0.875
```

Results
E_form (uncorrected), eV per atom: 0.0506
N(E_F), states/eV per atom: 0.606
Energy, eV/cell: -566.13

First-principles (GGA-PBE) data for an optimized crystal structure of Mo2WS, as listed in the Alexandria database.

Geometry as POSCAR:
```
Mo2WS
1.0
2.896 0.000 0.000
1.448 2.508 0.000
1.448 0.836 8.780
Mo S W
2 1 1
direct
0.096 0.096 0.711
0.904 0.904 0.289
0.500 0.500 0.500
0.000 0.000 0.000
```

Results
E_form (uncorrected), eV per atom: 0.5450
N(E_F), states/eV per atom: 0.987
Energy, eV/cell: -36.56

First-principles (GGA-PBE) data for an optimized crystal structure of Mo3WS8, as listed in the Alexandria database.

Geometry as POSCAR:
```
Mo3WS8
1.0
3.189 0.000 0.000
-1.595 2.762 0.000
0.000 0.000 27.945
S Mo W
8 3 1
direct
0.667 0.333 0.059
0.333 0.667 0.692
0.333 0.667 0.805
0.667 0.333 0.947
0.333 0.667 0.308
0.333 0.667 0.196
0.667 0.333 0.443
0.667 0.333 0.555
0.667 0.333 0.252
0.333 0.667 0.003
0.333 0.667 0.500
0.667 0.333 0.748
```

Results
E_form (uncorrected), eV per atom: -0.8616
Energy, eV/cell: -88.81

First-principles (GGA-PBE) data for an optimized crystal structure of Mo2WS5, as listed in the Alexandria database.

Geometry as POSCAR:
```
Mo2WS5
1.0
5.437 0.053 2.131
-1.435 5.684 3.520
-0.265 0.057 6.440
S Mo W
5 2 1
direct
0.675 0.064 0.294
0.259 0.245 0.028
0.259 0.727 0.028
0.675 0.642 0.294
0.890 0.174 0.652
0.524 0.988 0.024
0.932 0.388 0.224
0.008 0.995 0.009
```

Results
E_form (uncorrected), eV per atom: -0.2013
N(E_F), states/eV per atom: 0.693
Energy, eV/cell: -56.86

First-principles (GGA-PBE) data for an optimized crystal structure of MoW2S6, as listed in the Alexandria database.

Geometry as POSCAR:
```
MoW2S6
1.0
-3.059 -0.708 0.565
1.719 -1.819 -1.978
5.921 -12.386 16.533
S Mo W
6 1 2
direct
0.000 0.000 0.419
0.000 0.000 0.273
0.333 0.667 0.749
0.333 0.667 0.092
0.333 0.667 0.602
0.333 0.667 0.947
0.000 0.000 0.020
0.333 0.667 0.346
0.000 0.000 0.676
```

Results
E_form (uncorrected), eV per atom: -0.8404
N(E_F), states/eV per atom: 0.000
Energy, eV/cell: -69.07

First-principles (GGA-PBE) data for an optimized crystal structure of MoWS4, as listed in the Alexandria database.

Geometry as POSCAR:
```
MoWS4
1.0
-0.949 -2.942 0.789
1.938 0.435 -2.496
11.580 -1.387 8.748
S W Mo
4 1 1
direct
0.000 0.000 0.446
0.000 0.000 0.662
0.333 0.667 0.155
0.333 0.667 0.941
0.333 0.667 0.554
0.000 0.000 0.048
```

Results
Relative energy among the computed polymorphs, meV/atom: 0
E_form (uncorrected), eV per atom: -0.8494
N(E_F), states/eV per atom: 0.000
Energy, eV/cell: -45.39

First-principles (GGA-PBE) data for an optimized crystal structure of MoW2S6, as listed in the Alexandria database.

Geometry as POSCAR:
```
MoW2S6
1.0
3.190 0.000 0.000
-1.595 2.763 0.000
0.000 0.000 21.523
W S Mo
2 6 1
direct
0.667 0.333 0.327
0.667 0.333 0.673
0.667 0.333 0.073
0.667 0.333 0.927
0.333 0.667 0.600
0.333 0.667 0.746
0.333 0.667 0.400
0.333 0.667 0.254
0.333 0.667 0.000
```

Results
E_form (uncorrected), eV per atom: -0.8404
Energy, eV/cell: -69.07

First-principles (GGA-PBE) data for an optimized crystal structure of MoWS4, as listed in the Alexandria database.

Geometry as POSCAR:
```
MoWS4
1.0
6.403 0.214 -1.734
-2.446 4.779 -1.722
-0.494 0.365 7.563
S Mo W
8 2 2
direct
0.100 0.306 0.109
0.181 0.919 0.384
0.297 0.534 0.616
0.703 0.466 0.384
0.819 0.081 0.616
0.492 0.197 0.891
0.900 0.694 0.891
0.508 0.803 0.109
0.657 0.907 0.814
0.343 0.093 0.186
0.452 0.702 0.403
0.548 0.298 0.597
```

Results
Relative energy among the computed polymorphs, meV/atom: 352
E_form (uncorrected), eV per atom: -0.4977
N(E_F), states/eV per atom: 0.148
Energy, eV/cell: -86.56

First-principles (GGA-PBE) data for an optimized crystal structure of MoWS2, as listed in the Alexandria database.

Geometry as POSCAR:
```
MoWS2
1.0
1.275 -2.666 3.065
0.138 1.317 4.046
-2.812 -1.499 2.824
S Mo W
2 1 1
direct
0.750 0.750 0.750
0.250 0.250 0.250
0.000 0.000 0.000
0.500 0.500 0.500
```

Results
Relative energy among the computed polymorphs, meV/atom: 118
E_form (uncorrected), eV per atom: 0.0417
N(E_F), states/eV per atom: 0.796
Energy, eV/cell: -31.87

First-principles (GGA-PBE) data for an optimized crystal structure of MoWS2, as listed in the Alexandria database.

Geometry as POSCAR:
```
MoWS2
1.0
5.536 0.000 0.000
0.000 5.536 0.000
2.768 2.768 4.937
W S Mo
2 4 2
direct
0.000 0.000 0.000
0.750 0.250 0.500
0.123 0.625 0.250
0.627 0.125 0.250
0.375 0.373 0.750
0.875 0.877 0.750
0.250 0.750 0.500
0.500 0.500 0.000
```

Results
Relative energy among the computed polymorphs, meV/atom: 314
E_form (uncorrected), eV per atom: 0.2372
N(E_F), states/eV per atom: 1.098
Energy, eV/cell: -62.18

First-principles (GGA-PBE) data for an optimized crystal structure of MoWS4, as listed in the Alexandria database.

Geometry as POSCAR:
```
MoWS4
1.0
-1.297 2.632 -1.253
0.403 -0.232 3.156
30.045 13.447 -2.847
S Mo W
8 2 2
direct
0.667 0.333 0.730
0.667 0.333 0.153
0.333 0.667 0.270
0.333 0.667 0.365
0.667 0.333 0.635
0.333 0.667 0.847
0.333 0.667 0.942
0.667 0.333 0.058
0.333 0.667 0.105
0.667 0.333 0.895
0.667 0.333 0.318
0.333 0.667 0.682
```

Results
Relative energy among the computed polymorphs, meV/atom: 1
E_form (uncorrected), eV per atom: -0.8486
N(E_F), states/eV per atom: 0.000
Energy, eV/cell: -90.77

First-principles (GGA-PBE) data for an optimized crystal structure of MoWS3, as listed in the Alexandria database.

Geometry as POSCAR:
```
MoWS3
1.0
-3.015 -0.568 3.500
3.050 -2.759 2.179
1.809 3.705 2.159
Mo S W
1 3 1
direct
0.000 0.000 0.000
0.500 0.000 0.000
0.000 0.500 0.000
0.000 0.000 0.500
0.500 0.500 0.500
```

Results
Relative energy among the computed polymorphs, meV/atom: 334
E_form (uncorrected), eV per atom: 0.9957
N(E_F), states/eV per atom: 0.633
Energy, eV/cell: -31.19